Run a
Crystalline SrAg3Pt at its relaxed geometry, computed with GGA-PBE.

Calculated values
N(E_F) (states/eV/cell): 6.283
Total magnetic moment (μB per formula unit): 0.00
ρ (g cm⁻³): 6.4
SG: Pm-3m (221)

a b c (Å): 5.400 5.400 5.400
angles (deg): 90.00 90.00 90.00
Fractional coordinates of all 5 atoms:
Sr  0.000  0.000  0.000
Ag  0.000  0.000  0.500
Ag  0.000  0.500  0.000
Ag  0.500  0.000  0.000
Pt  0.500  0.500  0.500

Run b
Crystalline SrAg3Pt at its relaxed geometry, computed with GGA-PBE.

Calculated values
N(E_F) (states/eV/cell): 1.577
Total magnetic moment (μB per formula unit): 0.00
ρ (g cm⁻³): 7.3
SG: Pm-3m (221)

a b c (Å): 5.159 5.159 5.159
angles (deg): 90.00 90.00 90.00
Fractional coordinates of all 5 atoms:
Sr  0.000  0.000  0.000
Ag  0.000  0.500  0.500
Ag  0.500  0.000  0.500
Ag  0.500  0.500  0.000
Pt  0.500  0.500  0.500

Which of them is least stable? Easy: run a.

Run a
Crystalline TaAg2Pt at its relaxed geometry, computed with GGA-PBE.

Calculated values
N(E_F) (states/eV/cell): 2.611
Total magnetic moment (μB per formula unit): 0.00
ρ (g cm⁻³): 14.1
SG: Pmm2 (25)

a b c (Å): 2.858 3.888 6.262
angles (deg): 90.00 90.00 90.00
Fractional coordinates of all 4 atoms:
Ta  0.000  0.000  0.000
Ag  0.000  0.000  0.522
Ag  0.500  0.500  0.277
Pt  0.500  0.500  0.795

Run b
Crystalline TaAg2Pt at its relaxed geometry, computed with GGA-PBE.

Calculated values
N(E_F) (states/eV/cell): 3.316
Total magnetic moment (μB per formula unit): 0.00
ρ (g cm⁻³): 14.2
SG: R3m (160)

a b c (Å): 9.772 9.772 9.772
angles (deg): 16.95 16.95 16.95
Fractional coordinates of all 4 atoms:
Ta  0.000  0.000  0.000
Ag  0.247  0.247  0.247
Ag  0.495  0.495  0.495
Pt  0.744  0.744  0.744

Run c
Crystalline TaAg2Pt at its relaxed geometry, computed with GGA-PBE.

Calculated values
N(E_F) (states/eV/cell): 2.076
Total magnetic moment (μB per formula unit): 0.00
ρ (g cm⁻³): 14.2
SG: P2/m (10)

a b c (Å): 2.821 5.040 4.860
angles (deg): 90.00 91.21 90.00
Fractional coordinates of all 4 atoms:
Ta  0.000  0.000  0.000
Ag  0.267  0.500  0.751
Ag  0.733  0.500  0.249
Pt  0.500  0.000  0.500

Run d
Crystalline TaAg2Pt at its relaxed geometry, computed with GGA-PBE.

Calculated values
N(E_F) (states/eV/cell): 3.507
Total magnetic moment (μB per formula unit): 0.00
ρ (g cm⁻³): 14.3
SG: R-3m (166)

a b c (Å): 9.857 9.857 9.857
angles (deg): 16.64 16.64 16.64
Fractional coordinates of all 4 atoms:
Ta  0.000  0.000  0.000
Ag  0.248  0.248  0.248
Ag  0.752  0.752  0.752
Pt  0.500  0.500  0.500

Which of them is least stable? Easy: run d.

Run a
Crystalline TaAgPt at its relaxed geometry, computed with GGA-PBE.

Calculated values
N(E_F) (states/eV/cell): 1.405
Total magnetic moment (μB per formula unit): 0.00
ρ (g cm⁻³): 16.0
SG: P-6m2 (187)

a b c (Å): 4.578 4.578 2.766
angles (deg): 90.00 90.00 120.00
Fractional coordinates of all 3 atoms:
Ta  0.000  0.000  0.000
Ag  0.667  0.333  0.500
Pt  0.333  0.667  0.500

Run b
Crystalline TaAgPt at its relaxed geometry, computed with GGA-PBE.

Calculated values
N(E_F) (states/eV/cell): 1.221
Total magnetic moment (μB per formula unit): 0.00
ρ (g cm⁻³): 16.1
SG: Imm2 (44)

a b c (Å): 4.943 4.943 4.943
angles (deg): 146.31 131.23 60.59
Fractional coordinates of all 3 atoms:
Ta  0.000  0.000  0.000
Ag  0.672  0.672  0.000
Pt  0.342  0.342  0.000

Which of them is least stable? Easy: run a.

Run a
Crystalline TaAgPt at its relaxed geometry, computed with GGA-PBE.

Calculated values
N(E_F) (states/eV/cell): 1.563
Total magnetic moment (μB per formula unit): 0.00
ρ (g cm⁻³): 15.6
SG: P3m1 (156)

a b c (Å): 2.879 2.879 7.171
angles (deg): 90.00 90.00 120.00
Fractional coordinates of all 3 atoms:
Ta  0.000  0.000  0.000
Ag  0.667  0.333  0.349
Pt  0.333  0.667  0.692

Run b
Crystalline TaAgPt at its relaxed geometry, computed with GGA-PBE.

Calculated values
N(E_F) (states/eV/cell): 4.614
Total magnetic moment (μB per formula unit): 0.76
ρ (g cm⁻³): 13.4
SG: F-43m (216)

a b c (Å): 4.389 4.389 4.389
angles (deg): 60.00 60.00 60.00
Fractional coordinates of all 3 atoms:
Ta  0.000  0.000  0.000
Ag  0.500  0.500  0.500
Pt  0.250  0.250  0.250

Run c
Crystalline TaAgPt at its relaxed geometry, computed with GGA-PBE.

Calculated values
N(E_F) (states/eV/cell): 2.871
Total magnetic moment (μB per formula unit): 0.00
ρ (g cm⁻³): 15.8
SG: I4mm (107)

a b c (Å): 6.490 6.490 6.490
angles (deg): 154.39 154.39 36.54
Fractional coordinates of all 3 atoms:
Ta  0.000  0.000  0.000
Ag  0.675  0.675  0.000
Pt  0.348  0.348  0.000

Which of them is least stable? Easy: run b.

Run a
Crystalline TbAgPt at its relaxed geometry, computed with GGA-PBE.

Calculated values
N(E_F) (states/eV/cell): 2.830
Total magnetic moment (μB per formula unit): 0.00
ρ (g cm⁻³): 11.6
SG: P-1 (2)

a b c (Å): 3.824 5.016 7.437
angles (deg): 89.50 90.00 67.61
Fractional coordinates of all 6 atoms:
Tb  0.056  0.386  0.222
Tb  0.944  0.614  0.778
Ag  0.353  0.794  0.443
Ag  0.647  0.206  0.557
Pt  0.353  0.795  0.050
Pt  0.647  0.205  0.950

Run b
Crystalline TbAgPt at its relaxed geometry, computed with GGA-PBE.

Calculated values
N(E_F) (states/eV/cell): 1.428
Total magnetic moment (μB per formula unit): 0.00
ρ (g cm⁻³): 12.4
SG: I4mm (107)

a b c (Å): 5.247 5.247 5.247
angles (deg): 138.79 138.79 59.69
Fractional coordinates of all 3 atoms:
Tb  0.000  0.000  0.000
Ag  0.320  0.320  0.000
Pt  0.650  0.650  0.000

Run c
Crystalline TbAgPt at its relaxed geometry, computed with GGA-PBE.

Calculated values
N(E_F) (states/eV/cell): 1.778
Total magnetic moment (μB per formula unit): 0.00
ρ (g cm⁻³): 12.3
SG: Cmcm (63)

a b c (Å): 5.323 5.323 5.657
angles (deg): 90.00 90.00 128.64
Fractional coordinates of all 6 atoms:
Tb  0.194  0.806  0.750
Tb  0.806  0.194  0.250
Ag  0.500  0.500  0.000
Ag  0.500  0.500  0.500
Pt  0.120  0.880  0.250
Pt  0.880  0.120  0.750

Run d
Crystalline TbAgPt at its relaxed geometry, computed with GGA-PBE.

Calculated values
N(E_F) (states/eV/cell): 1.679
Total magnetic moment (μB per formula unit): 0.00
ρ (g cm⁻³): 12.0
SG: P-6m2 (187)

a b c (Å): 4.639 4.639 3.425
angles (deg): 90.00 90.00 120.00
Fractional coordinates of all 3 atoms:
Tb  0.000  0.000  0.000
Ag  0.333  0.667  0.500
Pt  0.667  0.333  0.500

Which of them is least stable? Easy: run d.

Run a
Crystalline TcAgPt2 at its relaxed geometry, computed with GGA-PBE.

Calculated values
N(E_F) (states/eV/cell): 3.747
Total magnetic moment (μB per formula unit): 3.12
ρ (g cm⁻³): 15.3
SG: P4/mmm (123)

a b c (Å): 4.080 4.080 3.874
angles (deg): 90.00 90.00 90.00
Fractional coordinates of all 4 atoms:
Tc  0.000  0.000  0.000
Ag  0.500  0.500  0.000
Pt  0.000  0.500  0.500
Pt  0.500  0.000  0.500

Run b
Crystalline TcAgPt2 at its relaxed geometry, computed with GGA-PBE.

Calculated values
N(E_F) (states/eV/cell): 3.621
Total magnetic moment (μB per formula unit): 1.61
ρ (g cm⁻³): 15.7
SG: I4/mmm (139)

a b c (Å): 4.850 4.850 4.850
angles (deg): 131.29 131.29 71.35
Fractional coordinates of all 4 atoms:
Tc  0.000  0.000  0.000
Ag  0.500  0.500  0.000
Pt  0.250  0.750  0.500
Pt  0.750  0.250  0.500

Which of them is least stable? Easy: run a.

Run a
Crystalline TcAg2Pt at its relaxed geometry, computed with GGA-PBE.

Calculated values
N(E_F) (states/eV/cell): 3.826
Total magnetic moment (μB per formula unit): 1.12
ρ (g cm⁻³): 12.5
SG: Imm2 (44)

a b c (Å): 5.657 5.657 5.657
angles (deg): 151.44 128.34 60.10
Fractional coordinates of all 4 atoms:
Tc  0.000  0.000  0.000
Ag  0.478  0.478  0.000
Ag  0.741  0.241  0.500
Pt  0.224  0.724  0.500

Run b
Crystalline TcAg2Pt at its relaxed geometry, computed with GGA-PBE.

Calculated values
N(E_F) (states/eV/cell): 3.280
Total magnetic moment (μB per formula unit): 0.00
ρ (g cm⁻³): 12.9
SG: Cmmm (65)

a b c (Å): 5.234 5.234 2.691
angles (deg): 90.00 90.00 117.52
Fractional coordinates of all 4 atoms:
Tc  0.000  0.000  0.000
Ag  0.000  0.500  0.500
Ag  0.500  0.000  0.500
Pt  0.500  0.500  0.000

Which of them is least stable? Easy: run b.

Run a
Crystalline TcAg2Pt at its relaxed geometry, computed with GGA-PBE.

Calculated values
N(E_F) (states/eV/cell): 3.725
Total magnetic moment (μB per formula unit): 1.21
ρ (g cm⁻³): 13.0
SG: C2/m (12)

a b c (Å): 5.067 5.067 4.917
angles (deg): 98.33 98.33 31.44
Fractional coordinates of all 4 atoms:
Tc  0.000  0.000  0.000
Ag  0.251  0.251  0.752
Ag  0.749  0.749  0.248
Pt  0.500  0.500  0.500

Run b
Crystalline TcAg2Pt at its relaxed geometry, computed with GGA-PBE.

Calculated values
N(E_F) (states/eV/cell): 2.177
Total magnetic moment (μB per formula unit): 3.14
ρ (g cm⁻³): 12.6
SG: I4/mmm (139)

a b c (Å): 5.173 5.173 5.173
angles (deg): 135.45 135.45 64.84
Fractional coordinates of all 4 atoms:
Tc  0.000  0.000  0.000
Ag  0.250  0.750  0.500
Ag  0.750  0.250  0.500
Pt  0.500  0.500  0.000

Which of them is least stable? Easy: run b.